Density functional theory data (PBE) for Ac6LaTe8 after structural relaxation.

Cell: 9.4287 9.4287 9.4287 Å, 60.00 60.00 60.00°
Fractional coordinates of all 15 atoms:
Ac  0.0000  0.0000  0.5000
Ac  0.0000  0.5000  0.0000
Ac  0.0000  0.5000  0.5000
Ac  0.5000  0.0000  0.0000
Ac  0.5000  0.0000  0.5000
Ac  0.5000  0.5000  0.0000
La  0.0000  0.0000  0.0000
Te  0.2483  0.2483  0.7517
Te  0.2483  0.7517  0.2483
Te  0.2483  0.7517  0.7517
Te  0.2500  0.2500  0.2500
Te  0.7500  0.7500  0.7500
Te  0.7517  0.2483  0.2483
Te  0.7517  0.2483  0.7517
Te  0.7517  0.7517  0.2483

## Properties
E in eV for the cell shown: -77.70
Total magnetization in μB per formula unit: 0.0
Crystal system: cubic
Space-group type: Fm-3m (225)